i:
CsPdAu3 GGA-PBE relaxed; crystal system = cubic; N(E_F) = 0.439 states/eV/atom
1.0
5.249 0.000 0.000
0.000 5.249 0.000
0.000 0.000 5.249
Cs Au Pd
1 3 1
direct
0.500 0.500 0.500 Cs
0.000 0.500 0.000 Au
0.000 0.000 0.500 Au
0.500 0.000 0.000 Au
0.000 0.000 0.000 Pd

ii:
CsPdAu3 GGA-PBE relaxed; crystal system = cubic; N(E_F) = 2.788 states/eV/atom
1.0
-2.155 -3.060 4.720
-0.984 -4.772 -3.542
5.539 -2.038 1.207
Au Cs Pd
3 1 1
direct
0.500 0.000 0.000 Au
0.000 0.500 0.000 Au
0.000 0.000 0.500 Au
0.000 0.000 0.000 Cs
0.500 0.500 0.500 Pd

Stability, lowest: ii

i:
Cs2PdAu GGA-PBE relaxed; crystal system = tetragonal; N(E_F) = 0.074 states/eV/atom
1.0
7.813 0.000 0.000
0.000 7.813 0.000
3.906 3.906 7.624
Pd Cs Au
2 4 2
direct
0.500 0.500 0.000 Pd
0.250 0.750 0.500 Pd
0.164 0.625 0.250 Cs
0.586 0.125 0.250 Cs
0.375 0.414 0.750 Cs
0.875 0.836 0.750 Cs
0.750 0.250 0.500 Au
0.000 0.000 0.000 Au

ii:
Cs2PdAu GGA-PBE relaxed; crystal system = trigonal; N(E_F) = 0.259 states/eV/atom
1.0
-0.732 4.597 -0.341
-3.082 1.649 -3.092
-8.997 1.396 6.189
Cs Pd Au
2 1 1
direct
0.094 0.094 0.718 Cs
0.906 0.906 0.282 Cs
0.000 0.000 0.000 Pd
0.500 0.500 0.500 Au

Stability, lowest: ii

i:
Cs2RbPdAu GGA-PBE relaxed; crystal system = tetragonal; N(E_F) = 0.079 states/eV/atom
1.0
-1.058 4.737 4.486
-6.432 0.006 -1.523
-1.057 -4.448 4.447
Cs Pd Rb Au
2 1 1 1
direct
0.500 0.000 0.000 Cs
0.000 0.500 0.000 Cs
0.000 0.000 0.000 Pd
0.000 0.000 0.500 Rb
0.500 0.500 0.500 Au

ii:
Cs2RbPdAu GGA-PBE relaxed; crystal system = tetragonal; N(E_F) = 0.533 states/eV/atom
1.0
6.593 0.000 0.000
0.000 6.593 0.000
0.000 0.000 5.448
Rb Cs Au Pd
1 2 1 1
direct
0.500 0.500 0.500 Rb
0.500 0.000 0.000 Cs
0.000 0.500 0.000 Cs
0.000 0.000 0.500 Au
0.000 0.000 0.000 Pd

Stability, lowest: ii